# PBE+U BaW3F, relaxed
data_BaW3F
_chemical_formula_sum 'Ba1 W3 F1'
_symmetry_space_group_name_H-M 'P m -3 m'
_symmetry_Int_Tables_number 221
_symmetry_space_group_name_Hall '-P 4 2 3'
_cell_length_a 5.221
_cell_length_b 5.221
_cell_length_c 5.221
_cell_angle_alpha 90.00
_cell_angle_beta 90.00
_cell_angle_gamma 90.00
loop_
_atom_site_label
_atom_site_fract_x
_atom_site_fract_y
_atom_site_fract_z
Ba1 0.000 0.000 0.000
W1 0.000 0.500 0.500
F1 0.500 0.500 0.500
# DFT total energy	-3.795	eV per atom
# M_tot	11.69	μB/cell